Record 1
Entry from Alexandria via LeMat-Bulk: a geometry-optimized Nd8HC3Cl3 structure (PBE).

Computed properties:
Space-group type: C2/m (12)
Size of the total moment, μB/cell: 0.00
E, Ry per atom: -0.424

Cell: 7.580 7.585 8.200 Å, 117.60 89.99 119.99°
Fractional positions:
Nd1 0.733 0.465 0.697
Nd2 0.286 0.039 0.293
Nd3 0.753 0.507 0.293
Nd4 0.247 0.493 0.707
Nd5 0.247 0.961 0.708
Nd6 0.753 0.039 0.292
Nd7 0.714 0.961 0.707
Nd8 0.267 0.535 0.303
C1 0.500 0.500 0.500
C2 0.000 0.500 0.500
C3 0.500 0.000 0.500
Cl1 0.000 0.500 0.000
Cl2 0.000 0.000 0.000
Cl3 0.500 0.500 0.000
H1 0.000 0.000 0.500

=====

Record 2
Entry from Alexandria via LeMat-Bulk: a geometry-optimized Nd8HC3Cl4 structure (PBE).

Computed properties:
Space-group type: R-3m (166)
Size of the total moment, μB/cell: 0.00
E, Ry per atom: -0.423

Cell: 7.551 8.348 7.552 Å, 116.89 119.99 90.00°
Fractional positions:
Cl1 0.500 0.000 0.000
Cl2 0.000 0.000 0.000
Cl3 0.500 0.000 0.500
Cl4 0.000 0.000 0.500
Nd1 0.269 0.308 0.539
Nd2 0.240 0.698 0.958
Nd3 0.760 0.302 0.042
Nd4 0.718 0.698 0.958
Nd5 0.240 0.698 0.480
Nd6 0.731 0.692 0.461
Nd7 0.760 0.302 0.520
Nd8 0.282 0.302 0.042
H1 0.000 0.500 0.000
C1 0.000 0.500 0.500
C2 0.500 0.500 0.000
C3 0.500 0.500 0.500